Entry from OQMD via LeMat-Bulk: crystalline HfMgSiOs at its relaxed geometry (GGA-PBE).

Properties
Energy relative to the lowest polymorph listed for this composition in meV/atom: 250
M_tot in μB per formula unit: 0.0

a b c (Å): 4.473 4.473 4.473
angles (deg): 60.00 60.00 60.00
Fractional coordinates of all 4 atoms:
Si (0.250, 0.250, 0.250)
Hf (0.500, 0.500, 0.500)
Mg (0.750, 0.750, 0.750)
Os (0.000, 0.000, 0.000)